1.
# VTcSCl2 PBE optimized geometry
data_VTcSCl2
_cell_length_a 4.770
_cell_length_b 4.770
_cell_length_c 4.768
_cell_angle_alpha 90.00
_cell_angle_beta 90.00
_cell_angle_gamma 90.00
_space_group_name_H-M_alt 'P 1'
_space_group_IT_number 1
loop_
_space_group_symop_operation_xyz
'x,y,z'
loop_
_atom_site_label
_atom_site_type_symbol
_atom_site_fract_x
_atom_site_fract_y
_atom_site_fract_z
V1 V 0.000 0.000 0.000
Tc1 Tc 0.500 0.500 0.500
S1 S 0.000 0.000 0.500
Cl1 Cl 0.000 0.500 0.000
Cl2 Cl 0.500 0.000 0.000
# crystal system = tetragonal
# space group = No. 123
# energy relative to the lowest polymorph listed for this composition = 0 meV/atom
# E_tot = -5.230 eV/atom
# formation energy from raw total energies = 0.23 eV/atom

2.
# TcWSCl2 PBE optimized geometry
data_TcWSCl2
_cell_length_a 4.871
_cell_length_b 4.871
_cell_length_c 4.617
_cell_angle_alpha 90.00
_cell_angle_beta 90.00
_cell_angle_gamma 90.00
_space_group_name_H-M_alt 'P 1'
_space_group_IT_number 1
loop_
_space_group_symop_operation_xyz
'x,y,z'
loop_
_atom_site_label
_atom_site_type_symbol
_atom_site_fract_x
_atom_site_fract_y
_atom_site_fract_z
Tc1 Tc 0.000 0.000 0.000
W1 W 0.500 0.500 0.500
S1 S 0.500 0.500 0.000
Cl1 Cl 0.000 0.500 0.500
Cl2 Cl 0.500 0.000 0.500
# crystal system = tetragonal
# space group = No. 123
# energy relative to the lowest polymorph listed for this composition = 0 meV/atom
# E_tot = -5.393 eV/atom
# formation energy from raw total energies = 0.84 eV/atom

3.
# TcWSCl2 PBE optimized geometry
data_TcWSCl2
_cell_length_a 4.883
_cell_length_b 4.883
_cell_length_c 4.513
_cell_angle_alpha 90.00
_cell_angle_beta 90.00
_cell_angle_gamma 90.00
_space_group_name_H-M_alt 'P 1'
_space_group_IT_number 1
loop_
_space_group_symop_operation_xyz
'x,y,z'
loop_
_atom_site_label
_atom_site_type_symbol
_atom_site_fract_x
_atom_site_fract_y
_atom_site_fract_z
Tc1 Tc 0.000 0.000 0.000
W1 W 0.500 0.500 0.500
S1 S 0.000 0.000 0.500
Cl1 Cl 0.000 0.500 0.000
Cl2 Cl 0.500 0.000 0.000
# crystal system = tetragonal
# space group = No. 123
# energy relative to the lowest polymorph listed for this composition = 286 meV/atom
# E_tot = -5.107 eV/atom
# formation energy from raw total energies = 1.12 eV/atom

4.
# YTcS2Cl PBE optimized geometry
data_YTcS2Cl
_cell_length_a 4.725
_cell_length_b 4.725
_cell_length_c 4.661
_cell_angle_alpha 90.00
_cell_angle_beta 90.00
_cell_angle_gamma 90.00
_space_group_name_H-M_alt 'P 1'
_space_group_IT_number 1
loop_
_space_group_symop_operation_xyz
'x,y,z'
loop_
_atom_site_label
_atom_site_type_symbol
_atom_site_fract_x
_atom_site_fract_y
_atom_site_fract_z
Y1 Y 0.000 0.000 0.000
Tc1 Tc 0.500 0.500 0.500
S1 S 0.000 0.500 0.500
S2 S 0.500 0.000 0.500
Cl1 Cl 0.500 0.500 0.000
# crystal system = tetragonal
# space group = No. 123
# energy relative to the lowest polymorph listed for this composition = 0 meV/atom
# E_tot = -5.904 eV/atom
# formation energy from raw total energies = -0.52 eV/atom

5.
# YTcS2Cl PBE optimized geometry
data_YTcS2Cl
_cell_length_a 5.265
_cell_length_b 5.265
_cell_length_c 5.065
_cell_angle_alpha 90.00
_cell_angle_beta 90.00
_cell_angle_gamma 90.00
_space_group_name_H-M_alt 'P 1'
_space_group_IT_number 1
loop_
_space_group_symop_operation_xyz
'x,y,z'
loop_
_atom_site_label
_atom_site_type_symbol
_atom_site_fract_x
_atom_site_fract_y
_atom_site_fract_z
Y1 Y 0.000 0.000 0.000
Tc1 Tc 0.500 0.500 0.500
S1 S 0.000 0.500 0.000
S2 S 0.500 0.000 0.000
Cl1 Cl 0.000 0.000 0.500
# crystal system = tetragonal
# space group = No. 123
# energy relative to the lowest polymorph listed for this composition = 371 meV/atom
# E_tot = -5.534 eV/atom
# formation energy from raw total energies = -0.15 eV/atom

6.
# ZrTcS2Cl PBE optimized geometry
data_ZrTcS2Cl
_cell_length_a 4.624
_cell_length_b 4.624
_cell_length_c 4.625
_cell_angle_alpha 90.00
_cell_angle_beta 90.00
_cell_angle_gamma 90.00
_space_group_name_H-M_alt 'P 1'
_space_group_IT_number 1
loop_
_space_group_symop_operation_xyz
'x,y,z'
loop_
_atom_site_label
_atom_site_type_symbol
_atom_site_fract_x
_atom_site_fract_y
_atom_site_fract_z
Zr1 Zr 0.000 0.000 0.000
Tc1 Tc 0.500 0.500 0.500
S1 S 0.000 0.500 0.500
S2 S 0.500 0.000 0.500
Cl1 Cl 0.500 0.500 0.000
# crystal system = tetragonal
# space group = No. 123
# energy relative to the lowest polymorph listed for this composition = 126 meV/atom
# E_tot = -5.699 eV/atom
# formation energy from raw total energies = 0.10 eV/atom

7.
# ZrTcS2Cl PBE optimized geometry
data_ZrTcS2Cl
_cell_length_a 4.996
_cell_length_b 4.996
_cell_length_c 4.955
_cell_angle_alpha 90.00
_cell_angle_beta 90.00
_cell_angle_gamma 90.00
_space_group_name_H-M_alt 'P 1'
_space_group_IT_number 1
loop_
_space_group_symop_operation_xyz
'x,y,z'
loop_
_atom_site_label
_atom_site_type_symbol
_atom_site_fract_x
_atom_site_fract_y
_atom_site_fract_z
Zr1 Zr 0.000 0.000 0.000
Tc1 Tc 0.500 0.500 0.500
S1 S 0.000 0.500 0.000
S2 S 0.500 0.000 0.000
Cl1 Cl 0.000 0.000 0.500
# crystal system = tetragonal
# space group = No. 123
# energy relative to the lowest polymorph listed for this composition = 0 meV/atom
# E_tot = -5.825 eV/atom
# formation energy from raw total energies = -0.02 eV/atom

8.
# Te2SCl2 PBE optimized geometry
data_Te2SCl2
_cell_length_a 8.397
_cell_length_b 8.397
_cell_length_c 10.559
_cell_angle_alpha 120.03
_cell_angle_beta 120.03
_cell_angle_gamma 35.78
_space_group_name_H-M_alt 'P 1'
_space_group_IT_number 1
loop_
_space_group_symop_operation_xyz
'x,y,z'
loop_
_atom_site_label
_atom_site_type_symbol
_atom_site_fract_x
_atom_site_fract_y
_atom_site_fract_z
Te1 Te 0.121 0.121 0.329
Te2 Te 0.320 0.320 0.215
Te3 Te 0.680 0.680 0.785
Te4 Te 0.879 0.879 0.671
S1 S 0.148 0.148 0.126
S2 S 0.852 0.852 0.874
Cl1 Cl 0.150 0.150 0.712
Cl2 Cl 0.428 0.428 0.705
Cl3 Cl 0.572 0.572 0.295
Cl4 Cl 0.850 0.850 0.288
# crystal system = monoclinic
# space group = No. 12
# E_tot = -2.982 eV/atom
# formation energy from raw total energies = -0.16 eV/atom

9.
# TeS2Cl5 PBE optimized geometry
data_TeS2Cl5
_cell_length_a 6.188
_cell_length_b 6.773
_cell_length_c 8.653
_cell_angle_alpha 69.49
_cell_angle_beta 81.09
_cell_angle_gamma 74.82
_space_group_name_H-M_alt 'P 1'
_space_group_IT_number 1
loop_
_space_group_symop_operation_xyz
'x,y,z'
loop_
_atom_site_label
_atom_site_type_symbol
_atom_site_fract_x
_atom_site_fract_y
_atom_site_fract_z
Te1 Te 0.000 0.000 0.000
S1 S 0.242 0.376 0.407
S2 S 0.405 0.493 0.507
Cl1 Cl 0.118 0.936 0.729
Cl2 Cl 0.263 0.523 0.136
Cl3 Cl 0.684 0.859 0.025
Cl4 Cl 0.834 0.365 0.866
Cl5 Cl 0.898 0.039 0.278
# crystal system = triclinic
# space group = No. 1
# E_tot = -2.888 eV/atom
# formation energy from raw total energies = -0.31 eV/atom

10.
# Te2SCl PBE optimized geometry
data_Te2SCl
_cell_length_a 6.689
_cell_length_b 6.689
_cell_length_c 6.689
_cell_angle_alpha 110.48
_cell_angle_beta 110.48
_cell_angle_gamma 107.47
_space_group_name_H-M_alt 'P 1'
_space_group_IT_number 1
loop_
_space_group_symop_operation_xyz
'x,y,z'
loop_
_atom_site_label
_atom_site_type_symbol
_atom_site_fract_x
_atom_site_fract_y
_atom_site_fract_z
Te1 Te 0.079 0.625 0.954
Te2 Te 0.375 0.329 0.454
Te3 Te 0.671 0.125 0.046
Te4 Te 0.875 0.921 0.546
S1 S 0.000 0.000 0.000
S2 S 0.750 0.250 0.500
Cl1 Cl 0.250 0.750 0.500
Cl2 Cl 0.500 0.500 0.000
# crystal system = tetragonal
# space group = No. 122
# energy relative to the lowest polymorph listed for this composition = 301 meV/atom
# E_tot = -2.781 eV/atom
# formation energy from raw total energies = 0.28 eV/atom

11.
# Te2SCl PBE optimized geometry
data_Te2SCl
_cell_length_a 5.065
_cell_length_b 5.065
_cell_length_c 5.065
_cell_angle_alpha 60.00
_cell_angle_beta 60.00
_cell_angle_gamma 60.00
_space_group_name_H-M_alt 'P 1'
_space_group_IT_number 1
loop_
_space_group_symop_operation_xyz
'x,y,z'
loop_
_atom_site_label
_atom_site_type_symbol
_atom_site_fract_x
_atom_site_fract_y
_atom_site_fract_z
Te1 Te 0.250 0.250 0.250
Te2 Te 0.750 0.750 0.750
S1 S 0.000 0.000 0.000
Cl1 Cl 0.500 0.500 0.500
# crystal system = cubic
# space group = No. 225
# energy relative to the lowest polymorph listed for this composition = 477 meV/atom
# E_tot = -2.605 eV/atom
# formation energy from raw total energies = 0.46 eV/atom